[1]
A geometry-optimized Mg2InAg structure, computed with GGA-PBE. Values from VASP.

Structure (Quantum ESPRESSO input):
```
&SYSTEM
  ibrav = 0, nat = 4, ntyp = 3
/
ATOMIC_SPECIES
Ag 107.87 Ag.upf
Mg 24.30 Mg.upf
In 114.82 In.upf
CELL_PARAMETERS angstrom
-3.949 -0.638 -3.300
-4.016 -1.237 3.039
3.247 4.023 0.412
ATOMIC_POSITIONS angstrom
Ag -2.342 1.223 -1.509
Mg -0.001 0.000 0.000
Mg -3.982 -0.937 -0.130
In -2.376 0.924 1.661
```

V	20.75	Å³ per atom
space group	I4/mmm, No. 139
total energy	-9.29	eV for the cell shown

[2]
A geometry-optimized Hf2Ni5Ge3 structure, computed with GGA-PBE. Values from VASP.

Structure (Quantum ESPRESSO input):
```
&SYSTEM
  ibrav = 0, nat = 20, ntyp = 3
/
ATOMIC_SPECIES
Ni 58.69 Ni.upf
Ge 72.64 Ge.upf
Hf 178.49 Hf.upf
CELL_PARAMETERS angstrom
3.914 0.000 -0.667
0.000 6.315 0.000
-0.068 0.000 11.422
ATOMIC_POSITIONS angstrom
Ni 3.391 4.874 8.084
Ni 2.727 2.475 4.185
Ni 2.381 6.025 2.158
Ni 1.052 3.055 6.174
Ni 2.794 6.213 4.581
Ni 0.455 1.717 2.671
Ni 1.119 5.633 6.569
Ni 1.464 2.868 8.597
Ni 0.188 3.639 1.101
Ni 3.658 0.482 9.654
Ge 3.006 4.283 5.825
Ge 0.204 6.107 1.199
Ge 3.641 2.949 9.555
Ge 1.484 0.318 8.712
Ge 0.840 1.125 4.930
Ge 2.362 3.475 2.043
Hf 2.017 1.627 0.020
Hf 3.176 1.474 6.822
Hf 1.829 4.785 10.735
Hf 0.670 4.632 3.933
```

V	14.10	Å³ per atom
space group	Cmc2_1, No. 36
total energy	-135.58	eV for the cell shown